A geometry-optimized TbYHoSc structure. Source: the Alexandria database, functional GGA-PBE.

Lattice parameters (Å, degrees): 7.8405 7.8405 7.8405 90.00 90.00 90.00
Fractional positions:
Tb 0.0000 0.0000 0.0000
Tb 0.0000 0.5000 0.5000
Tb 0.5000 0.0000 0.5000
Tb 0.5000 0.5000 0.0000
Y 0.0000 0.0000 0.5000
Y 0.0000 0.5000 0.0000
Y 0.5000 0.0000 0.0000
Y 0.5000 0.5000 0.5000
Ho 0.2500 0.2500 0.7500
Ho 0.2500 0.7500 0.2500
Ho 0.7500 0.2500 0.2500
Ho 0.7500 0.7500 0.7500
Sc 0.2500 0.2500 0.2500
Sc 0.2500 0.7500 0.7500
Sc 0.7500 0.2500 0.7500
Sc 0.7500 0.7500 0.2500

Calculated values
Total moment, Bohr magnetons per cell: 0.0
Energy of formation from the pure elements, meV per atom: 130
DOS at the Fermi energy, states/eV/f.u.: 8.4
Excess energy over the best structure of this formula in the dataset, eV/f.u.: 0.10
Symmetry: F-43m (216)

=====

A geometry-optimized TbY2Ho5Sc structure. Source: the Alexandria database, functional GGA-PBE.

Lattice parameters (Å, degrees): 10.2123 10.2123 10.3685 90.00 90.00 148.52
Fractional positions:
Tb 0.0886 0.9114 0.5000
Tb 0.9114 0.0886 0.0000
Y 0.3868 0.6132 0.7786
Y 0.3887 0.6113 0.3573
Y 0.6113 0.3887 0.8573
Y 0.6132 0.3868 0.2786
Ho 0.0184 0.9816 0.7823
Ho 0.1205 0.8795 0.0635
Ho 0.2007 0.7993 0.7475
Ho 0.2224 0.7776 0.3618
Ho 0.4807 0.5193 0.0622
Ho 0.5193 0.4807 0.5622
Ho 0.7776 0.2224 0.8618
Ho 0.7993 0.2007 0.2475
Ho 0.8795 0.1205 0.5635
Ho 0.9816 0.0184 0.2823
Sc 0.3032 0.6968 0.0570
Sc 0.6968 0.3032 0.5570

Calculated values
Total moment, Bohr magnetons per cell: 0.0
Energy of formation from the pure elements, meV per atom: 167
DOS at the Fermi energy, states/eV/f.u.: 15.0
Symmetry: Cmc2_1 (36)

=====

What did the first record say?
A geometry-optimized TbYHoSc structure. Source: the Alexandria database, functional GGA-PBE.

Lattice parameters (Å, degrees): 7.8405 7.8405 7.8405 90.00 90.00 90.00
Fractional positions:
Tb 0.0000 0.0000 0.0000
Tb 0.0000 0.5000 0.5000
Tb 0.5000 0.0000 0.5000
Tb 0.5000 0.5000 0.0000
Y 0.0000 0.0000 0.5000
Y 0.0000 0.5000 0.0000
Y 0.5000 0.0000 0.0000
Y 0.5000 0.5000 0.5000
Ho 0.2500 0.2500 0.7500
Ho 0.2500 0.7500 0.2500
Ho 0.7500 0.2500 0.2500
Ho 0.7500 0.7500 0.7500
Sc 0.2500 0.2500 0.2500
Sc 0.2500 0.7500 0.7500
Sc 0.7500 0.2500 0.7500
Sc 0.7500 0.7500 0.2500

Calculated values
Total moment, Bohr magnetons per cell: 0.0
Energy of formation from the pure elements, meV per atom: 130
DOS at the Fermi energy, states/eV/f.u.: 8.4
Excess energy over the best structure of this formula in the dataset, eV/f.u.: 0.10
Symmetry: F-43m (216)

=====

> What is the total moment in the second record?

0.0 Bohr magnetons per cell

=====

> Which formula does entry 2 have?

TbY2Ho5Sc